A relaxed structure of NpNiGe2O8. Source: Alexandria, functional GGA+U.

Unit cell a=5.7720 b=5.7720 c=5.7720 alpha=108.20 beta=108.20 gamma=112.05
Sites, in units of the cell vectors:
Np 0.2500 0.7500 0.5000
Ni 0.0000 0.0000 0.0000
Ge 0.7500 0.2500 0.5000
Ge 0.5000 0.5000 0.0000
O 0.3671 0.0566 0.3106
O 0.3208 0.5156 0.1948
O 0.3208 0.1260 0.8052
O 0.7460 0.0566 0.6894
O 0.8740 0.6792 0.1948
O 0.9434 0.2540 0.3106
O 0.9434 0.6329 0.6894
O 0.4844 0.6792 0.8052

Calculated values
- ρ (g/cm³) = 6.39
- uncorrected energy (eV/atom) = -7.05